Density functional theory data (PBEsol) for a geometry-optimized ZrPbCl2 structure.

abc: 4.815 3.317 11.488
angles: 90.00 90.00 90.00
Space group Amm2 (No. 38)
Asymmetric unit:
Zr: 0.000 0.000 0.000 (multiplicity 2)
Pb: 0.500 0.000 0.629 (multiplicity 2)
Cl: 0.000 0.000 0.332 (multiplicity 2)
Cl: 0.500 0.000 0.913 (multiplicity 2)

For the total energy, the calculation gives -41.362 eV per cell. For the magnetization, the calculation gives 0.00 μB/cell. Its uncorrected formation energy is -894 meV per atom.